VASP calculation (GGA+U) on TiMnIO2 after structural relaxation.

Total magnetization (μB per formula unit): 5.84
Raw total energy (eV per cell): -28.71
Crystal system: tetragonal
Energy above the most stable polymorph in this dataset (meV/atom): 815

Unit cell a=3.921 b=3.921 c=5.657 alpha=90.00 beta=90.00 gamma=90.00
Space group P4/mmm (No. 123)
Symmetry-distinct sites (fractional):
Ti  0.000  0.000  0.000 (multiplicity 1)
Mn  0.500  0.500  0.500 (multiplicity 1)
I  0.500  0.500  0.000 (multiplicity 1)
O  0.000  0.500  0.500 (multiplicity 2)